No. 1
# ZrNi2Cl | Alexandria | PBE | relaxed
data_ZrNi2Cl
_space_group_name_H-M_alt 'P 1'
_space_group_IT_number 1
_cell_length_a 3.138
_cell_length_b 3.204
_cell_length_c 7.094
_cell_angle_alpha 76.76
_cell_angle_beta 90.00
_cell_angle_gamma 90.00
loop_
_space_group_symop_operation_xyz
'x,y,z'
loop_
_atom_site_label
_atom_site_type_symbol
_atom_site_fract_x
_atom_site_fract_y
_atom_site_fract_z
Ni1 Ni 0.000 0.764 0.100
Ni2 Ni 0.500 0.199 0.229
Zr1 Zr 0.000 0.582 0.460
Cl1 Cl 0.500 0.954 0.711
# Total DFT energy (no corrections) (eV/atom): -5.75
# Formation energy (no corrections) (eV/atom): -0.265
# Relative energy among the computed polymorphs (meV/atom): 63

No. 2
# BaP4 | Alexandria | PBE | relaxed
data_BaP4
_space_group_name_H-M_alt 'P 1'
_space_group_IT_number 1
_cell_length_a 5.471
_cell_length_b 6.429
_cell_length_c 8.106
_cell_angle_alpha 95.41
_cell_angle_beta 90.00
_cell_angle_gamma 90.00
loop_
_space_group_symop_operation_xyz
'x,y,z'
loop_
_atom_site_label
_atom_site_type_symbol
_atom_site_fract_x
_atom_site_fract_y
_atom_site_fract_z
P1 P 0.224 0.321 0.764
P2 P 0.724 0.679 0.736
P3 P 0.074 0.589 0.391
P4 P 0.926 0.411 0.609
P5 P 0.276 0.321 0.264
P6 P 0.426 0.589 0.891
P7 P 0.574 0.411 0.109
P8 P 0.776 0.679 0.236
Ba1 Ba 0.000 0.000 0.000
Ba2 Ba 0.500 0.000 0.500
# E_form (eV per atom): -0.432
# Total DFT energy (no corrections) (eV/atom): -5.14
# Relative energy among the computed polymorphs (meV/atom): 0

No. 3
# Y3ZnCd2 | Alexandria | PBE | relaxed
data_Y3ZnCd2
_space_group_name_H-M_alt 'P 1'
_space_group_IT_number 1
_cell_length_a 3.665
_cell_length_b 3.665
_cell_length_c 11.259
_cell_angle_alpha 90.00
_cell_angle_beta 90.00
_cell_angle_gamma 90.00
loop_
_space_group_symop_operation_xyz
'x,y,z'
loop_
_atom_site_label
_atom_site_type_symbol
_atom_site_fract_x
_atom_site_fract_y
_atom_site_fract_z
Cd1 Cd 0.500 0.500 0.827
Cd2 Cd 0.500 0.500 0.173
Y1 Y 0.000 0.000 0.653
Y2 Y 0.000 0.000 0.347
Y3 Y 0.000 0.000 0.000
Zn1 Zn 0.500 0.500 0.500
# E_form (eV per atom): -0.354
# Total DFT energy (no corrections) (eV/atom): -4.10
# Relative energy among the computed polymorphs (meV/atom): 0

No. 4
# Be3CoAu | Alexandria | PBE | relaxed
data_Be3CoAu
_space_group_name_H-M_alt 'P 1'
_space_group_IT_number 1
_cell_length_a 4.255
_cell_length_b 4.255
_cell_length_c 4.255
_cell_angle_alpha 90.00
_cell_angle_beta 90.00
_cell_angle_gamma 90.00
loop_
_space_group_symop_operation_xyz
'x,y,z'
loop_
_atom_site_label
_atom_site_type_symbol
_atom_site_fract_x
_atom_site_fract_y
_atom_site_fract_z
Au1 Au 0.000 0.000 0.000
Be1 Be 0.000 0.000 0.500
Be2 Be 0.000 0.500 0.000
Be3 Be 0.500 0.000 0.000
Co1 Co 0.500 0.500 0.500
# E_form (eV per atom): 0.915
# Total DFT energy (no corrections) (eV/atom): -3.40
# Relative energy among the computed polymorphs (meV/atom): 453

No. 5
# TaInW2 | Alexandria | PBE | relaxed
data_TaInW2
_space_group_name_H-M_alt 'P 1'
_space_group_IT_number 1
_cell_length_a 2.868
_cell_length_b 2.868
_cell_length_c 9.233
_cell_angle_alpha 90.00
_cell_angle_beta 90.00
_cell_angle_gamma 110.37
loop_
_space_group_symop_operation_xyz
'x,y,z'
loop_
_atom_site_label
_atom_site_type_symbol
_atom_site_fract_x
_atom_site_fract_y
_atom_site_fract_z
Ta1 Ta 0.500 0.500 0.750
W1 W 0.000 0.000 0.991
W2 W 0.000 0.000 0.509
In1 In 0.500 0.500 0.250
# E_form (eV per atom): 0.268
# Total DFT energy (no corrections) (eV/atom): -9.86

No. 6
# Tb8Pm4Er3 | Alexandria | PBE | relaxed
data_Tb8Pm4Er3
_space_group_name_H-M_alt 'P 1'
_space_group_IT_number 1
_cell_length_a 6.955
_cell_length_b 6.955
_cell_length_c 12.492
_cell_angle_alpha 73.84
_cell_angle_beta 73.84
_cell_angle_gamma 60.00
loop_
_space_group_symop_operation_xyz
'x,y,z'
loop_
_atom_site_label
_atom_site_type_symbol
_atom_site_fract_x
_atom_site_fract_y
_atom_site_fract_z
Pm1 Pm 0.663 0.663 0.010
Pm2 Pm 0.000 0.000 0.000
Pm3 Pm 0.500 0.500 0.500
Pm4 Pm 0.337 0.337 0.990
Tb1 Tb 0.753 0.250 0.746
Tb2 Tb 0.755 0.755 0.735
Tb3 Tb 0.250 0.250 0.746
Tb4 Tb 0.247 0.750 0.254
Tb5 Tb 0.250 0.753 0.746
Tb6 Tb 0.750 0.750 0.254
Tb7 Tb 0.245 0.245 0.265
Tb8 Tb 0.750 0.247 0.254
Er1 Er 0.000 0.000 0.500
Er2 Er 0.000 0.500 0.500
Er3 Er 0.500 0.000 0.500
# E_form (eV per atom): 0.123
# Total DFT energy (no corrections) (eV/atom): -4.53
# Relative energy among the computed polymorphs (meV/atom): 0

No. 7
# Sr6Bi3O2 | Alexandria | PBE | relaxed
data_Sr6Bi3O2
_space_group_name_H-M_alt 'P 1'
_space_group_IT_number 1
_cell_length_a 5.069
_cell_length_b 5.069
_cell_length_c 14.099
_cell_angle_alpha 100.36
_cell_angle_beta 100.36
_cell_angle_gamma 90.00
loop_
_space_group_symop_operation_xyz
'x,y,z'
loop_
_atom_site_label
_atom_site_type_symbol
_atom_site_fract_x
_atom_site_fract_y
_atom_site_fract_z
Bi1 Bi 0.822 0.822 0.644
Bi2 Bi 0.178 0.178 0.356
Bi3 Bi 0.000 0.000 0.000
Sr1 Sr 0.086 0.586 0.172
Sr2 Sr 0.414 0.914 0.828
Sr3 Sr 0.586 0.086 0.172
Sr4 Sr 0.914 0.414 0.828
Sr5 Sr 0.693 0.693 0.386
Sr6 Sr 0.307 0.307 0.614
O1 O 0.396 0.396 0.793
O2 O 0.604 0.604 0.207
# Total DFT energy (no corrections) (eV/atom): -4.42
# Formation energy (no corrections) (eV/atom): -1.538

No. 8
# Tb8In2Os | Alexandria | PBE | relaxed
data_Tb8In2Os
_space_group_name_H-M_alt 'P 1'
_space_group_IT_number 1
_cell_length_a 5.418
_cell_length_b 7.031
_cell_length_c 9.182
_cell_angle_alpha 111.13
_cell_angle_beta 107.16
_cell_angle_gamma 90.00
loop_
_space_group_symop_operation_xyz
'x,y,z'
loop_
_atom_site_label
_atom_site_type_symbol
_atom_site_fract_x
_atom_site_fract_y
_atom_site_fract_z
Tb1 Tb 0.396 0.592 0.793
Tb2 Tb 0.990 0.226 0.981
Tb3 Tb 0.604 0.408 0.207
Tb4 Tb 0.804 0.750 0.608
Tb5 Tb 0.010 0.774 0.019
Tb6 Tb 0.196 0.250 0.392
Tb7 Tb 0.642 0.916 0.284
Tb8 Tb 0.358 0.084 0.716
In1 In 0.182 0.691 0.365
In2 In 0.818 0.309 0.635
Os1 Os 0.500 0.000 0.000
# E_form (eV per atom): -0.243
# Total DFT energy (no corrections) (eV/atom): -5.13

No. 9
# InTeOs2 | Alexandria | PBE | relaxed
data_InTeOs2
_space_group_name_H-M_alt 'P 1'
_space_group_IT_number 1
_cell_length_a 3.179
_cell_length_b 5.185
_cell_length_c 4.480
_cell_angle_alpha 90.00
_cell_angle_beta 90.00
_cell_angle_gamma 90.00
loop_
_space_group_symop_operation_xyz
'x,y,z'
loop_
_atom_site_label
_atom_site_type_symbol
_atom_site_fract_x
_atom_site_fract_y
_atom_site_fract_z
Os1 Os 0.500 0.500 0.000
Os2 Os 0.000 0.000 0.000
In1 In 0.000 0.500 0.500
Te1 Te 0.500 0.000 0.500
# Total DFT energy (no corrections) (eV/atom): -6.05
# Formation energy (no corrections) (eV/atom): 1.032
# Relative energy among the computed polymorphs (meV/atom): 636

No. 10
# Sm3TmTh2As6 | Alexandria | PBE | relaxed
data_Sm3TmTh2As6
_space_group_name_H-M_alt 'P 1'
_space_group_IT_number 1
_cell_length_a 4.213
_cell_length_b 8.404
_cell_length_c 9.409
_cell_angle_alpha 103.02
_cell_angle_beta 102.94
_cell_angle_gamma 90.00
loop_
_space_group_symop_operation_xyz
'x,y,z'
loop_
_atom_site_label
_atom_site_type_symbol
_atom_site_fract_x
_atom_site_fract_y
_atom_site_fract_z
As1 As 0.667 0.584 0.334
As2 As 0.333 0.416 0.666
As3 As 0.336 0.919 0.672
As4 As 0.664 0.081 0.328
As5 As 0.999 0.243 0.998
As6 As 0.001 0.757 0.002
Sm1 Sm 0.500 0.500 0.000
Sm2 Sm 0.166 0.834 0.333
Sm3 Sm 0.834 0.166 0.667
Th1 Th 0.164 0.330 0.329
Th2 Th 0.836 0.670 0.671
Tm1 Tm 0.500 0.000 0.000
# E_form (eV per atom): -1.491
# Total DFT energy (no corrections) (eV/atom): -6.61

No. 11
# La4PmEr2Sc | Alexandria | PBE | relaxed
data_La4PmEr2Sc
_space_group_name_H-M_alt 'P 1'
_space_group_IT_number 1
_cell_length_a 6.167
_cell_length_b 9.579
_cell_length_c 6.164
_cell_angle_alpha 50.03
_cell_angle_beta 107.29
_cell_angle_gamma 101.01
loop_
_space_group_symop_operation_xyz
'x,y,z'
loop_
_atom_site_label
_atom_site_type_symbol
_atom_site_fract_x
_atom_site_fract_y
_atom_site_fract_z
Sc1 Sc 0.000 0.500 0.500
Er1 Er 0.000 0.000 0.000
Er2 Er 0.500 0.000 0.500
La1 La 0.500 0.252 0.748
La2 La 0.000 0.748 0.752
La3 La 0.000 0.252 0.248
La4 La 0.500 0.748 0.252
Pm1 Pm 0.500 0.500 0.000
# E_form (eV per atom): 0.036
# Total DFT energy (no corrections) (eV/atom): -4.95

No. 12
# CuAu | Alexandria | PBE | relaxed
data_CuAu
_space_group_name_H-M_alt 'P 1'
_space_group_IT_number 1
_cell_length_a 8.837
_cell_length_b 8.837
_cell_length_c 4.588
_cell_angle_alpha 90.00
_cell_angle_beta 90.00
_cell_angle_gamma 90.00
loop_
_space_group_symop_operation_xyz
'x,y,z'
loop_
_atom_site_label
_atom_site_type_symbol
_atom_site_fract_x
_atom_site_fract_y
_atom_site_fract_z
Cu1 Cu 0.596 0.096 0.000
Cu2 Cu 0.596 0.904 0.500
Cu3 Cu 0.096 0.596 0.500
Cu4 Cu 0.904 0.596 0.000
Cu5 Cu 0.404 0.096 0.500
Cu6 Cu 0.096 0.404 0.000
Cu7 Cu 0.904 0.404 0.500
Cu8 Cu 0.404 0.904 0.000
Au1 Au 0.309 0.809 0.500
Au2 Au 0.809 0.691 0.500
Au3 Au 0.691 0.191 0.500
Au4 Au 0.691 0.809 0.000
Au5 Au 0.809 0.309 0.000
Au6 Au 0.191 0.691 0.000
Au7 Au 0.191 0.309 0.500
Au8 Au 0.309 0.191 0.000
# E_form (eV per atom): 0.205
# Total DFT energy (no corrections) (eV/atom): -3.48

- total DFT energy (no corrections) of number 2 (BaP4)?
  -5.14 eV/atom

- What is the total DFT energy (no corrections) in the fourth record?
  -3.40 eV/atom